Computed, not measured: a relaxed Ac2Pm2IrPt2 crystal at the GGA-PBE level of DFT.

Calculated values
Energy of formation ... -0.85 eV per atom
Space group ... C2/m, No. 12
V ... 30.30 A^3/atom

Geometry as POSCAR:
```
Ac2Pm2IrPt2
1.0
7.170 -2.080 0.000
7.170 2.080 0.000
-3.981 0.000 7.109
Ac Pm Ir Pt
2 2 1 2
Cartesian
-0.529 0.000 1.950 Ac
10.888 0.000 5.159 Ac
3.279 0.000 1.466 Pm
7.080 0.000 5.643 Pm
5.180 0.000 3.555 Ir
1.664 0.000 6.753 Pt
8.695 0.000 0.356 Pt
```